1.
## YbTmB12 (PBE)

Data for YbTmB12 after structural relaxation.

extended XYZ file:
```
14
Lattice="5.800 0.000 0.000 2.900 5.023 0.000 2.900 1.674 4.735" Properties=species:S:1:pos:R:3 pbc="T T T"
Yb 5.800 3.348 2.368
Tm 0.000 0.000 0.000
B 2.900 0.668 0.472
B 8.699 4.016 2.840
B 3.772 2.178 0.472
B 9.571 5.526 2.840
B 2.028 2.178 0.472
B 7.828 5.526 2.840
B 2.028 1.171 1.896
B 7.828 4.519 4.263
B 3.772 1.171 1.896
B 9.571 4.519 4.263
B 2.900 2.681 1.896
B 8.699 6.029 4.263
```

Summary:
Symmetry   Fm-3m (225)
Energy   -6.5474 eV/atom
Magnetization   0.18 Bohr magnetons per cell

2.
## Ga3CoGe (PBE)

Data for Ga3CoGe after structural relaxation.

extended XYZ file:
```
5
Lattice="4.551 0.000 0.000 0.000 4.551 0.000 0.000 0.000 4.551" Properties=species:S:1:pos:R:3 pbc="T T T"
Ge 2.276 2.276 2.276
Co 0.000 0.000 0.000
Ga 0.000 2.276 0.000
Ga 0.000 0.000 2.276
Ga 2.276 0.000 0.000
```

Summary:
Symmetry   Pm-3m (221)
Magnetization   0.00 Bohr magnetons per cell
Offset from the most stable computed form   0.1553 eV/atom

3.
## Pa4N3O (PBE)

Data for Pa4N3O after structural relaxation.

extended XYZ file:
```
8
Lattice="-1.393 2.794 -1.588 -1.988 2.238 1.819 8.140 7.785 2.694" Properties=species:S:1:pos:R:3 pbc="T T T"
Pa -1.081 4.128 0.485
Pa 0.093 7.321 1.212
Pa 5.840 8.689 2.440
Pa 4.666 5.495 1.713
O 0.000 0.000 0.000
N 3.598 9.631 2.202
N 2.380 6.408 1.462
N 1.161 3.185 0.723
```

Summary:
Symmetry   R-3m (166)
Formation energy without anion corrections   -1873 meV/atom
Magnetization   0.00 Bohr magnetons per cell

4.
## Ca2CdSe (PBE)

Data for Ca2CdSe after structural relaxation.

extended XYZ file:
```
4
Lattice="5.655 -0.015 0.000 1.427 5.472 0.000 -3.541 -2.729 3.463" Properties=species:S:1:pos:R:3 pbc="T T T"
Ca 0.000 0.000 0.000
Ca 3.541 2.729 0.000
Se 2.827 -0.007 1.732
Cd 0.714 2.736 1.732
```

Summary:
Symmetry   I4/mmm (139)
Formation energy without anion corrections   -747 meV/atom
Magnetization   0.00 Bohr magnetons per cell
Offset from the most stable computed form   0.2616 eV/atom

5.
## K2MnTl (PBE)

Data for K2MnTl after structural relaxation.

extended XYZ file:
```
4
Lattice="-0.681 2.321 3.166 -3.849 -1.199 0.051 2.469 -7.768 6.224" Properties=species:S:1:pos:R:3 pbc="T T T"
K -1.054 -8.284 5.844
K -1.028 -1.770 3.583
Mn 0.109 -5.306 3.912
Tl -2.159 -4.738 5.515
```

Summary:
Symmetry   Pm (6)
Magnetization   3.91 Bohr magnetons per cell
Offset from the most stable computed form   0.0138 eV/atom

6.
## GeAsH2Se (PBE)

Data for GeAsH2Se after structural relaxation.

extended XYZ file:
```
5
Lattice="-1.020 -3.658 1.303 1.885 -2.738 -2.256 5.283 -0.230 4.217" Properties=species:S:1:pos:R:3 pbc="T T T"
Ge 5.648 -6.013 3.076
As 2.314 -5.783 0.452
H 2.882 -4.512 -0.213
H 1.506 -4.952 1.471
Se 4.712 -3.625 2.933
```

Summary:
Symmetry   P1 (1)
Magnetization   0.00 Bohr magnetons per cell
Offset from the most stable computed form   0.0235 eV/atom